Entry 1:
Ce6Hg2Ge after structural relaxation, computed with PBE.

For the size of the total moment, the calculation gives 0.4642 μB per atom. The value obtained for the volume is 235.8 Å³/cell.

Cell lengths 5.6348, 5.6348, 9.4617 Å; angles 91.92, 91.92, 51.77 degrees
Fractional positions:
Ce  0.0546  0.0546  0.3181
Ce  0.2058  0.2058  0.7571
Ce  0.3473  0.3473  0.0960
Ce  0.6527  0.6527  0.9040
Ce  0.7942  0.7942  0.2429
Ce  0.9454  0.9454  0.6819
Hg  0.3589  0.3589  0.4514
Hg  0.6411  0.6411  0.5486
Ge  0.0000  0.0000  0.0000

***

Entry 2:
Ce2HgGe after structural relaxation, computed with PBE.

For the size of the total moment, the calculation gives 0.4115 μB per atom. The value obtained for the volume is 117.6 Å³/cell.

Cell lengths 8.3234, 8.3234, 8.3234 Å; angles 28.71, 28.71, 28.71 degrees
Fractional positions:
Ce  0.0000  0.0000  0.0000
Ce  0.1887  0.1887  0.1887
Hg  0.4278  0.4278  0.4278
Ge  0.5942  0.5942  0.5942

***

Entry 3:
Ce4Hg3Ge after structural relaxation, computed with PBE.

For the size of the total moment, the calculation gives 0.0003 μB per atom. For the excess energy over the best structure of this formula in the dataset, the calculation gives 161 meV/atom. The value obtained for the volume is 196.9 Å³/cell.

Cell lengths 9.3337, 9.3337, 9.3337 Å; angles 153.96, 146.43, 42.97 degrees
Fractional positions:
Ce  0.1198  0.1198  0.0000
Ce  0.2314  0.7314  0.5000
Ce  0.7686  0.2686  0.5000
Ce  0.8802  0.8802  0.0000
Hg  0.3744  0.3744  0.0000
Hg  0.5000  0.0000  0.5000
Hg  0.6256  0.6256  0.0000
Ge  0.0000  0.5000  0.5000

***

no.,E_form (meV per atom)
1,-219
2,-386
3,-241